w | A relaxed structure of Sr2ZnGaPd. Source: Alexandria, functional PBE.

Cell: 5.875 5.875 4.784 Å, 90.00 90.00 90.00°
Sites, in units of the cell vectors:
Sr  0.000  0.500  0.000
Sr  0.500  0.000  0.000
Zn  0.000  0.000  0.500
Ga  0.500  0.500  0.500
Pd  0.500  0.500  0.000



x | A relaxed structure of Sr2ZnGaPd. Source: Alexandria, functional PBE.

Cell: 5.927 5.927 4.630 Å, 90.00 90.00 90.00°
Sites, in units of the cell vectors:
Sr  0.000  0.500  0.000
Sr  0.500  0.000  0.000
Zn  0.000  0.000  0.000
Ga  0.500  0.500  0.500
Pd  0.000  0.000  0.500



w takes first place; second place is 243 meV/atom up.